w.
# PBE CaAlH5, optimized geometry
data_CaAlH5
_symmetry_space_group_name_H-M 'C 1 2/c 1'
_symmetry_Int_Tables_number 15
_symmetry_space_group_name_Hall '-C 2yc'
_cell_length_a 7.771
_cell_length_b 5.121
_cell_length_c 7.494
_cell_angle_alpha 90.00
_cell_angle_beta 114.76
_cell_angle_gamma 90.00
loop_
_atom_site_label
_atom_site_fract_x
_atom_site_fract_y
_atom_site_fract_z
_atom_site_occupancy
Ca1 0.000 0.009 0.250 1
Al1 0.000 0.500 0.000 1
H1 0.000 0.474 0.750 1
H2 0.111 0.201 0.543 1
H3 0.204 0.338 0.119 1
# - D(E_F): 0.00 states/eV per cell

---

x.
# PBE CaAlH5, optimized geometry
data_CaAlH5
_symmetry_space_group_name_H-M 'P 1 21/c 1'
_symmetry_Int_Tables_number 14
_symmetry_space_group_name_Hall '-P 2ybc'
_cell_length_a 8.289
_cell_length_b 6.874
_cell_length_c 12.310
_cell_angle_alpha 90.00
_cell_angle_beta 128.62
_cell_angle_gamma 90.00
loop_
_atom_site_label
_atom_site_fract_x
_atom_site_fract_y
_atom_site_fract_z
_atom_site_occupancy
Ca1 0.157 0.228 0.348 1
Ca2 0.284 0.730 0.544 1
Al1 0.283 0.221 0.656 1
Al2 0.307 0.691 0.311 1
H1 0.057 0.211 0.630 1
H2 0.110 0.708 0.137 1
H3 0.150 0.562 0.337 1
H4 0.193 0.614 0.836 1
H5 0.223 0.097 0.042 1
H6 0.233 0.055 0.537 1
H7 0.387 0.140 0.302 1
H8 0.390 0.032 0.790 1
H9 0.454 0.693 0.776 1
H10 0.499 0.695 0.485 1
# - D(E_F): 0.00 states/eV per cell

---

y.
# PBE CaAlH5, optimized geometry
data_CaAlH5
_symmetry_space_group_name_H-M 'P 21 21 21'
_symmetry_Int_Tables_number 19
_symmetry_space_group_name_Hall 'P 2ac 2ab'
_cell_length_a 4.312
_cell_length_b 4.922
_cell_length_c 12.088
_cell_angle_alpha 90.00
_cell_angle_beta 90.00
_cell_angle_gamma 90.00
loop_
_atom_site_label
_atom_site_fract_x
_atom_site_fract_y
_atom_site_fract_z
_atom_site_occupancy
Ca1 0.211 0.139 0.339 1
Al1 0.188 0.122 0.086 1
H1 0.008 0.880 0.491 1
H2 0.019 0.875 0.010 1
H3 0.124 0.625 0.323 1
H4 0.156 0.109 0.675 1
H5 0.177 0.613 0.664 1
# - D(E_F): 0.00 states/eV per cell

---

z.
# PBE CaAlH5, optimized geometry
data_CaAlH5
_symmetry_space_group_name_H-M 'P 1 21/c 1'
_symmetry_Int_Tables_number 14
_symmetry_space_group_name_Hall '-P 2ybc'
_cell_length_a 9.993
_cell_length_b 5.693
_cell_length_c 12.216
_cell_angle_alpha 90.00
_cell_angle_beta 116.54
_cell_angle_gamma 90.00
loop_
_atom_site_label
_atom_site_fract_x
_atom_site_fract_y
_atom_site_fract_z
_atom_site_occupancy
Ca1 0.060 0.106 0.174 1
Ca2 0.349 0.680 0.380 1
Al1 0.261 0.742 0.111 1
Al2 0.306 0.243 0.022 1
H1 0.082 0.704 0.529 1
H2 0.108 0.704 0.793 1
H3 0.170 0.229 0.063 1
H4 0.174 0.149 0.868 1
H5 0.286 0.548 0.000 1
H6 0.288 0.516 0.201 1
H7 0.288 0.559 0.723 1
H8 0.349 0.577 0.554 1
H9 0.428 0.204 0.955 1
H10 0.459 0.228 0.659 1
# - D(E_F): 0.00 states/eV per cell

---

Top of the stability list: x, leading by 9 meV/atom.

---

w.
# PBE CaAl2H, optimized geometry
data_CaAl2H
_symmetry_space_group_name_H-M 'I 41/a m d'
_symmetry_Int_Tables_number 141
_cell_length_a 5.874
_cell_length_b 5.874
_cell_length_c 8.297
_cell_angle_alpha 90.00
_cell_angle_beta 90.00
_cell_angle_gamma 90.00
loop_
_symmetry_equiv_pos_as_xyz
'x,y,z'
'-x,-y,-z'
'-y+1/4,x+3/4,z+1/4'
'y+1/4,-x+3/4,-z+1/4'
'-x+1/2,-y,z+1/2'
'x+1/2,y,-z+1/2'
'y+1/4,-x+1/4,z+3/4'
'-y+1/4,x+1/4,-z+3/4'
'x,-y,-z'
'-x,y,z'
'-y+1/4,-x+1/4,-z+3/4'
'y+1/4,x+1/4,z+3/4'
'-x+1/2,y,-z+1/2'
'x+1/2,-y,z+1/2'
'y+1/4,x+3/4,-z+1/4'
'-y+1/4,-x+3/4,z+1/4'
'x+1/2,y+1/2,z+1/2'
'-x+1/2,-y+1/2,-z+1/2'
'-y+3/4,x+1/4,z+3/4'
'y+3/4,-x+1/4,-z+3/4'
'-x,-y+1/2,z'
'x,y+1/2,-z'
'y+3/4,-x+3/4,z+1/4'
'-y+3/4,x+3/4,-z+1/4'
'x+1/2,-y+1/2,-z+1/2'
'-x+1/2,y+1/2,z+1/2'
'-y+3/4,-x+3/4,-z+1/4'
'y+3/4,x+3/4,z+1/4'
'-x,y+1/2,-z'
'x,-y+1/2,z'
'y+3/4,x+1/4,-z+3/4'
'-y+3/4,-x+1/4,z+3/4'
loop_
_atom_site_label
_atom_site_fract_x
_atom_site_fract_y
_atom_site_fract_z
_atom_site_occupancy
Ca1 0.000 0.250 0.375 1
Al1 0.000 0.000 0.000 1
H1 0.000 0.250 0.875 1
# - D(E_F): 9.83 states/eV per cell

---

x.
# PBE CaAl2H, optimized geometry
data_CaAl2H
_symmetry_space_group_name_H-M 'F m -3 m'
_symmetry_Int_Tables_number 225
_symmetry_space_group_name_Hall '-F 4 2 3'
_cell_length_a 6.841
_cell_length_b 6.841
_cell_length_c 6.841
_cell_angle_alpha 90.00
_cell_angle_beta 90.00
_cell_angle_gamma 90.00
loop_
_atom_site_label
_atom_site_fract_x
_atom_site_fract_y
_atom_site_fract_z
_atom_site_occupancy
Ca1 0.000 0.000 0.000 1
Al1 0.250 0.250 0.250 1
H1 0.000 0.000 0.500 1
# - D(E_F): 10.13 states/eV per cell

---

Top of the stability list: w, leading by 679 meV/atom.

---

w.
# PBE CaAl2HO, optimized geometry
data_CaAl2HO
_symmetry_space_group_name_H-M 'P 4/m m m'
_symmetry_Int_Tables_number 123
_symmetry_space_group_name_Hall '-P 4 2'
_cell_length_a 3.649
_cell_length_b 3.649
_cell_length_c 6.080
_cell_angle_alpha 90.00
_cell_angle_beta 90.00
_cell_angle_gamma 90.00
loop_
_atom_site_label
_atom_site_fract_x
_atom_site_fract_y
_atom_site_fract_z
_atom_site_occupancy
Ca1 0.000 0.000 0.000 1
Al1 0.000 0.500 0.500 1
H1 0.500 0.500 0.500 1
O1 0.500 0.500 0.000 1
# - D(E_F): 1.60 states/eV per cell

---

x.
# PBE CaAl2HO, optimized geometry
data_CaAl2HO
_symmetry_space_group_name_H-M 'P 4/m m m'
_symmetry_Int_Tables_number 123
_symmetry_space_group_name_Hall '-P 4 2'
_cell_length_a 5.753
_cell_length_b 5.753
_cell_length_c 3.804
_cell_angle_alpha 90.00
_cell_angle_beta 90.00
_cell_angle_gamma 90.00
loop_
_atom_site_label
_atom_site_fract_x
_atom_site_fract_y
_atom_site_fract_z
_atom_site_occupancy
Ca1 0.000 0.000 0.000 1
Al1 0.000 0.500 0.000 1
H1 0.000 0.000 0.500 1
O1 0.500 0.500 0.500 1
# - D(E_F): 4.77 states/eV per cell

---

Top of the stability list: w, leading by 1402 meV/atom.

---

w.
# PBE CaAl3Hg, optimized geometry
data_CaAl3Hg
_symmetry_space_group_name_H-M 'P m -3 m'
_symmetry_Int_Tables_number 221
_symmetry_space_group_name_Hall '-P 4 2 3'
_cell_length_a 5.777
_cell_length_b 5.777
_cell_length_c 5.777
_cell_angle_alpha 90.00
_cell_angle_beta 90.00
_cell_angle_gamma 90.00
loop_
_atom_site_label
_atom_site_fract_x
_atom_site_fract_y
_atom_site_fract_z
_atom_site_occupancy
Ca1 0.000 0.000 0.000 1
Al1 0.000 0.000 0.500 1
Hg1 0.500 0.500 0.500 1
# - D(E_F): 5.63 states/eV per cell

---

x.
# PBE CaAl3Hg, optimized geometry
data_CaAl3Hg
_symmetry_space_group_name_H-M 'P 4 m m'
_symmetry_Int_Tables_number 99
_symmetry_space_group_name_Hall 'P 4 -2'
_cell_length_a 4.203
_cell_length_b 4.203
_cell_length_c 6.126
_cell_angle_alpha 90.00
_cell_angle_beta 90.00
_cell_angle_gamma 90.00
loop_
_atom_site_label
_atom_site_fract_x
_atom_site_fract_y
_atom_site_fract_z
_atom_site_occupancy
Ca1 0.000 0.000 0.000 1
Al1 0.000 0.500 0.534 1
Al2 0.500 0.500 0.801 1
Hg1 0.500 0.500 0.228 1
# - D(E_F): 1.66 states/eV per cell

---

Top of the stability list: x, leading by 1300 meV/atom.